[1]
VASP calculation (PBE) on crystalline Ca3AgPb at its relaxed geometry.

```
data_Ca3AgPb
_space_group_name_H-M_alt 'P 1'
_space_group_IT_number 1
_space_group_name_Hall 'P 1'
_cell_length_a 5.6429
_cell_length_b 5.6429
_cell_length_c 5.6429
_cell_angle_alpha 90.00
_cell_angle_beta 90.00
_cell_angle_gamma 90.00
loop_
_atom_site_label
_atom_site_type_symbol
_atom_site_fract_x
_atom_site_fract_y
_atom_site_fract_z
Ca1 Ca 0.0000 0.0000 0.5000
Ca2 Ca 0.0000 0.5000 0.0000
Ca3 Ca 0.5000 0.0000 0.0000
Ag1 Ag 0.0000 0.0000 0.0000
Pb1 Pb 0.5000 0.5000 0.5000
```

Output
D(E_F) = 0.716 states/eV per atom
E_form = -0.1168 eV per atom
magnetic moment = 0.00 μB/cell
polymorph energy (0 for the lowest one) = 264 meV/atom



[2]
VASP calculation (PBE) on crystalline BaTcHg at its relaxed geometry.

```
data_BaTcHg
_space_group_name_H-M_alt 'P 1'
_space_group_IT_number 1
_space_group_name_Hall 'P 1'
_cell_length_a 7.6323
_cell_length_b 7.6323
_cell_length_c 7.6323
_cell_angle_alpha 90.00
_cell_angle_beta 90.00
_cell_angle_gamma 90.00
loop_
_atom_site_label
_atom_site_type_symbol
_atom_site_fract_x
_atom_site_fract_y
_atom_site_fract_z
Ba1 Ba 0.0000 0.0000 0.0000
Ba2 Ba 0.0000 0.5000 0.5000
Ba3 Ba 0.5000 0.0000 0.5000
Ba4 Ba 0.5000 0.5000 0.0000
Tc1 Tc 0.2500 0.2500 0.7500
Tc2 Tc 0.2500 0.7500 0.2500
Tc3 Tc 0.7500 0.2500 0.2500
Tc4 Tc 0.7500 0.7500 0.7500
Hg1 Hg 0.2500 0.2500 0.2500
Hg2 Hg 0.2500 0.7500 0.7500
Hg3 Hg 0.7500 0.2500 0.7500
Hg4 Hg 0.7500 0.7500 0.2500
```

Output
D(E_F) = 0.441 states/eV per atom
E_form = 1.2726 eV per atom
magnetic moment = 12.83 μB/cell
polymorph energy (0 for the lowest one) = 697 meV/atom



[3]
VASP calculation (PBE) on crystalline Cu2S4I at its relaxed geometry.

```
data_Cu2S4I
_space_group_name_H-M_alt 'P 1'
_space_group_IT_number 1
_space_group_name_Hall 'P 1'
_cell_length_a 6.9467
_cell_length_b 3.8150
_cell_length_c 11.8855
_cell_angle_alpha 90.00
_cell_angle_beta 102.07
_cell_angle_gamma 90.00
loop_
_atom_site_label
_atom_site_type_symbol
_atom_site_fract_x
_atom_site_fract_y
_atom_site_fract_z
Cu1 Cu 0.0918 0.0000 0.2254
Cu2 Cu 0.4082 0.5000 0.7746
Cu3 Cu 0.5918 0.5000 0.2254
Cu4 Cu 0.9082 0.0000 0.7746
S1 S 0.0601 0.5000 0.7280
S2 S 0.1363 0.5000 0.5689
S3 S 0.3637 0.0000 0.4311
S4 S 0.4399 0.0000 0.2720
S5 S 0.5601 0.0000 0.7280
S6 S 0.6363 0.0000 0.5689
S7 S 0.8637 0.5000 0.4311
S8 S 0.9399 0.5000 0.2720
I1 I 0.0000 0.0000 0.0000
I2 I 0.5000 0.5000 0.0000
```

Output
D(E_F) = 0.379 states/eV per atom
magnetic moment = 0.00 μB/cell
raw formation energy = 23 meV per atom



[4]
VASP calculation (PBE) on crystalline LiVCd at its relaxed geometry.

```
data_LiVCd
_space_group_name_H-M_alt 'P 1'
_space_group_IT_number 1
_space_group_name_Hall 'P 1'
_cell_length_a 2.9440
_cell_length_b 5.0700
_cell_length_c 6.9122
_cell_angle_alpha 99.50
_cell_angle_beta 92.80
_cell_angle_gamma 90.22
loop_
_atom_site_label
_atom_site_type_symbol
_atom_site_fract_x
_atom_site_fract_y
_atom_site_fract_z
Li1 Li 0.0000 0.0000 0.0000
Li2 Li 0.0213 0.2696 0.6802
V1 V 0.0942 0.7102 0.3794
V2 V 0.4640 0.7595 0.6300
Cd1 Cd 0.5368 0.5167 0.0010
Cd2 Cd 0.5507 0.2008 0.3472
```

Output
D(E_F) = 0.519 states/eV per atom
E_form = 0.1713 eV per atom
magnetic moment = 0.00 μB/cell
polymorph energy (0 for the lowest one) = 39 meV/atom



[5]
VASP calculation (PBE) on crystalline Li2Sm2Si4Pt at its relaxed geometry.

```
data_Li2Sm2Si4Pt
_space_group_name_H-M_alt 'P 1'
_space_group_IT_number 1
_space_group_name_Hall 'P 1'
_cell_length_a 6.1114
_cell_length_b 6.1114
_cell_length_c 6.1114
_cell_angle_alpha 121.53
_cell_angle_beta 121.53
_cell_angle_gamma 87.37
loop_
_atom_site_label
_atom_site_type_symbol
_atom_site_fract_x
_atom_site_fract_y
_atom_site_fract_z
Li1 Li 0.2143 0.2143 0.0000
Li2 Li 0.7857 0.7857 0.0000
Sm1 Sm 0.2500 0.7500 0.5000
Sm2 Sm 0.7500 0.2500 0.5000
Si1 Si 0.2091 0.2091 0.4182
Si2 Si 0.2091 0.7909 0.0000
Si3 Si 0.7909 0.2091 0.0000
Si4 Si 0.7909 0.7909 0.5818
Pt1 Pt 0.5000 0.5000 0.0000
```

Output
D(E_F) = 0.471 states/eV per atom
magnetic moment = 0.00 μB/cell
raw formation energy = -617 meV per atom



[6]
VASP calculation (PBE) on crystalline La2SmHo2Cd5 at its relaxed geometry.

```
data_La2SmHo2Cd5
_space_group_name_H-M_alt 'P 1'
_space_group_IT_number 1
_space_group_name_Hall 'P 1'
_cell_length_a 10.7547
_cell_length_b 10.7547
_cell_length_c 4.8195
_cell_angle_alpha 90.00
_cell_angle_beta 90.00
_cell_angle_gamma 90.00
loop_
_atom_site_label
_atom_site_type_symbol
_atom_site_fract_x
_atom_site_fract_y
_atom_site_fract_z
La1 La 0.1761 0.3239 0.0000
La2 La 0.3239 0.8239 0.0000
La3 La 0.6761 0.1761 0.0000
La4 La 0.8239 0.6761 0.0000
Sm1 Sm 0.0000 0.0000 0.0000
Sm2 Sm 0.5000 0.5000 0.0000
Ho1 Ho 0.1221 0.6221 0.0000
Ho2 Ho 0.3779 0.1221 0.0000
Ho3 Ho 0.6221 0.8779 0.0000
Ho4 Ho 0.8779 0.3779 0.0000
Cd1 Cd 0.0000 0.5000 0.5000
Cd2 Cd 0.0683 0.8029 0.5000
Cd3 Cd 0.1971 0.0683 0.5000
Cd4 Cd 0.3029 0.5683 0.5000
Cd5 Cd 0.4317 0.3029 0.5000
Cd6 Cd 0.5000 0.0000 0.5000
Cd7 Cd 0.5683 0.6971 0.5000
Cd8 Cd 0.6971 0.4317 0.5000
Cd9 Cd 0.8029 0.9317 0.5000
Cd10 Cd 0.9317 0.1971 0.5000
```

Output
D(E_F) = 0.674 states/eV per atom
E_form = -0.2139 eV per atom
magnetic moment = 0.00 μB/cell



[7]
VASP calculation (PBE) on crystalline Sb2RhCl at its relaxed geometry.

```
data_Sb2RhCl
_space_group_name_H-M_alt 'P 1'
_space_group_IT_number 1
_space_group_name_Hall 'P 1'
_cell_length_a 3.1669
_cell_length_b 4.5237
_cell_length_c 6.2981
_cell_angle_alpha 90.00
_cell_angle_beta 90.00
_cell_angle_gamma 90.00
loop_
_atom_site_label
_atom_site_type_symbol
_atom_site_fract_x
_atom_site_fract_y
_atom_site_fract_z
Sb1 Sb 0.0000 0.0000 0.0000
Sb2 Sb 0.5000 0.0000 0.5000
Rh1 Rh 0.0000 0.5000 0.5000
Cl1 Cl 0.5000 0.5000 0.0000
```

Output
D(E_F) = 0.662 states/eV per atom
magnetic moment = 0.00 μB/cell
raw formation energy = 200 meV per atom



[8]
VASP calculation (PBE) on crystalline KMn2AsCl at its relaxed geometry.

```
data_KMn2AsCl
_space_group_name_H-M_alt 'P 1'
_space_group_IT_number 1
_space_group_name_Hall 'P 1'
_cell_length_a 4.4660
_cell_length_b 4.4660
_cell_length_c 7.2267
_cell_angle_alpha 90.00
_cell_angle_beta 90.00
_cell_angle_gamma 90.00
loop_
_atom_site_label
_atom_site_type_symbol
_atom_site_fract_x
_atom_site_fract_y
_atom_site_fract_z
K1 K 0.0000 0.0000 0.0000
Mn1 Mn 0.0000 0.5000 0.5000
Mn2 Mn 0.5000 0.0000 0.5000
As1 As 0.0000 0.0000 0.5000
Cl1 Cl 0.5000 0.5000 0.0000
```

Output
D(E_F) = 1.682 states/eV per atom
magnetic moment = 0.22 μB/cell
raw formation energy = 472 meV per atom



[9]
VASP calculation (PBE) on crystalline BaIn2Cu at its relaxed geometry.

```
data_BaIn2Cu
_space_group_name_H-M_alt 'P 1'
_space_group_IT_number 1
_space_group_name_Hall 'P 1'
_cell_length_a 5.5391
_cell_length_b 5.5391
_cell_length_c 17.9021
_cell_angle_alpha 90.00
_cell_angle_beta 90.00
_cell_angle_gamma 90.00
loop_
_atom_site_label
_atom_site_type_symbol
_atom_site_fract_x
_atom_site_fract_y
_atom_site_fract_z
Ba1 Ba 0.0000 0.0000 0.0000
Ba2 Ba 0.0000 0.5000 0.2500
Ba3 Ba 0.5000 0.0000 0.7500
Ba4 Ba 0.5000 0.5000 0.5000
In1 In 0.0543 0.2500 0.6250
In2 In 0.2500 0.5543 0.8750
In3 In 0.2500 0.9457 0.3750
In4 In 0.4457 0.2500 0.1250
In5 In 0.5543 0.7500 0.1250
In6 In 0.7500 0.0543 0.3750
In7 In 0.7500 0.4457 0.8750
In8 In 0.9457 0.7500 0.6250
Cu1 Cu 0.0000 0.0000 0.5000
Cu2 Cu 0.0000 0.5000 0.7500
Cu3 Cu 0.5000 0.0000 0.2500
Cu4 Cu 0.5000 0.5000 0.0000
```

Output
D(E_F) = 0.764 states/eV per atom
E_form = -0.0555 eV per atom
magnetic moment = 0.00 μB/cell



[10]
VASP calculation (PBE) on crystalline Mg8Bi2Ir at its relaxed geometry.

```
data_Mg8Bi2Ir
_space_group_name_H-M_alt 'P 1'
_space_group_IT_number 1
_space_group_name_Hall 'P 1'
_cell_length_a 8.7183
_cell_length_b 8.7183
_cell_length_c 6.9562
_cell_angle_alpha 111.28
_cell_angle_beta 111.28
_cell_angle_gamma 31.56
loop_
_atom_site_label
_atom_site_type_symbol
_atom_site_fract_x
_atom_site_fract_y
_atom_site_fract_z
Mg1 Mg 0.0209 0.0209 0.3142
Mg2 Mg 0.1693 0.1693 0.7299
Mg3 Mg 0.3569 0.3569 0.5777
Mg4 Mg 0.4138 0.4138 0.0943
Mg5 Mg 0.5862 0.5862 0.9057
Mg6 Mg 0.6431 0.6431 0.4223
Mg7 Mg 0.8307 0.8307 0.2701
Mg8 Mg 0.9791 0.9791 0.6858
Bi1 Bi 0.1854 0.1854 0.1824
Bi2 Bi 0.8146 0.8146 0.8176
Ir1 Ir 0.5000 0.5000 0.5000
```

Output
D(E_F) = 0.287 states/eV per atom
E_form = -0.1809 eV per atom
magnetic moment = 0.00 μB/cell
polymorph energy (0 for the lowest one) = 3 meV/atom



[11]
VASP calculation (PBE) on crystalline MnGeS at its relaxed geometry.

```
data_MnGeS
_space_group_name_H-M_alt 'P 1'
_space_group_IT_number 1
_space_group_name_Hall 'P 1'
_cell_length_a 9.0096
_cell_length_b 9.0096
_cell_length_c 7.4017
_cell_angle_alpha 95.81
_cell_angle_beta 95.81
_cell_angle_gamma 23.84
loop_
_atom_site_label
_atom_site_type_symbol
_atom_site_fract_x
_atom_site_fract_y
_atom_site_fract_z
Mn1 Mn 0.1135 0.1135 0.1809
Mn2 Mn 0.1402 0.1402 0.5588
Mn3 Mn 0.8598 0.8598 0.4412
Mn4 Mn 0.8865 0.8865 0.8191
Ge1 Ge 0.2292 0.2292 0.8796
Ge2 Ge 0.2535 0.2535 0.3686
Ge3 Ge 0.7465 0.7465 0.6314
Ge4 Ge 0.7708 0.7708 0.1204
S1 S 0.0975 0.0975 0.8621
S2 S 0.4180 0.4180 0.6312
S3 S 0.5820 0.5820 0.3688
S4 S 0.9025 0.9025 0.1379
```

Output
D(E_F) = 0.441 states/eV per atom
magnetic moment = 15.35 μB/cell
raw formation energy = -90 meV per atom



[12]
VASP calculation (PBE) on crystalline KZr2Cd at its relaxed geometry.

```
data_KZr2Cd
_space_group_name_H-M_alt 'P 1'
_space_group_IT_number 1
_space_group_name_Hall 'P 1'
_cell_length_a 3.0761
_cell_length_b 6.2082
_cell_length_c 11.6583
_cell_angle_alpha 90.00
_cell_angle_beta 90.00
_cell_angle_gamma 90.00
loop_
_atom_site_label
_atom_site_type_symbol
_atom_site_fract_x
_atom_site_fract_y
_atom_site_fract_z
K1 K 0.0000 0.0000 0.0000
K2 K 0.5000 0.5000 0.5000
Zr1 Zr 0.0000 0.0000 0.5037
Zr2 Zr 0.0000 0.5000 0.7916
Zr3 Zr 0.5000 0.0000 0.2916
Zr4 Zr 0.5000 0.5000 0.0037
Cd1 Cd 0.0000 0.5000 0.2385
Cd2 Cd 0.5000 0.0000 0.7385
```

Output
D(E_F) = 0.787 states/eV per atom
E_form = 0.5919 eV per atom
magnetic moment = 0.00 μB/cell